No. 1
4
Lattice="-3.9841 -1.2639 -2.5358 -1.4668 -4.6629 -0.0841 -4.0767 -1.3229 2.3518" Properties=species:S:1:pos:R:3 comment="AgSe2Cl | Alexandria | PBE-GGA | optimized geometry" space_group="F-43m (216)" magnetic_moment_mub_per_cell=0.0 relative_energy_ev_per_atom=0.5694 formation_energy_uncorrected_ev_per_fu=1.5 dft_energy_ev_per_fu=-10.1 dos_ef_per_ev_atom=0.79 pbc="T T T"
Ag -4.7638 -3.6248 -0.1340
Cl -2.3819 -1.8124 -0.0670
Se 0.0000 0.0000 0.0000
Se -7.1457 -5.4372 -0.2011

=====

No. 2
5
Lattice="3.5887 0.0000 0.0000 0.0000 3.5887 0.0000 1.7944 1.7944 7.5611" Properties=species:S:1:pos:R:3 comment="MgTc2Hg2 | Alexandria | PBE-GGA | optimized geometry" space_group="I4/mmm (139)" magnetic_moment_mub_per_cell=0.0 relative_energy_ev_per_atom=0.0000 formation_energy_mev_per_atom=445 dft_energy_ev_per_fu=-20.7 dos_ef_per_ev_atom=0.76 pbc="T T T"
Mg 0.0000 0.0000 0.0000
Hg 1.7944 1.7944 1.4946
Hg 3.5887 3.5887 6.0664
Tc 3.5887 1.7944 3.7805
Tc 1.7944 3.5887 3.7805

=====

No. 3
4
Lattice="2.9968 0.0000 0.0000 0.0000 2.9962 0.0000 0.0000 0.0000 8.0535" Properties=species:S:1:pos:R:3 comment="Al2SbRh | Alexandria | PBE-GGA | optimized geometry" space_group="P4/mmm (123)" magnetic_moment_mub_per_cell=0.0 formation_energy_uncorrected_ev_per_fu=-1.5 dft_energy_ev_per_fu=-20.4 dos_ef_per_ev_atom=0.41 pbc="T T T"
Sb 1.4984 1.4981 6.0401
Rh 1.4984 1.4981 2.0134
Al 0.0000 0.0000 0.4985
Al 0.0000 0.0000 3.5283

=====

No. 4
8
Lattice="6.0911 0.0000 0.0000 0.0000 6.0911 0.0000 3.0455 3.0455 4.9192" Properties=species:S:1:pos:R:3 comment="AgTe2H | Alexandria | PBE-GGA | optimized geometry" space_group="I-42d (122)" magnetic_moment_mub_per_cell=0.0 relative_energy_ev_per_atom=0.2611 dft_energy_ev_per_fu=-10.9 dos_ef_per_ev_atom=0.28 pbc="T T T"
H 3.0455 3.0455 0.0000
H 3.0455 6.0911 2.4596
Te 4.0893 1.5228 1.2298
Te 2.0018 4.5683 1.2298
Te 4.5683 5.0473 3.6894
Te 7.6138 7.1348 3.6894
Ag 0.0000 0.0000 0.0000
Ag 6.0911 3.0455 2.4596

=====

No. 5
12
Lattice="5.0653 -0.0305 1.6927 0.0396 7.4231 0.0132 0.0277 -0.0153 8.3838" Properties=species:S:1:pos:R:3 comment="Na5PuHg6 | Alexandria | PBE-GGA | optimized geometry" space_group="P2/m (10)" magnetic_moment_mub_per_cell=6.4 formation_energy_mev_per_atom=-194 dft_energy_ev_per_fu=-25.1 dos_ef_per_ev_atom=1.44 pbc="T T T"
Na 3.4015 3.6810 6.7626
Na 1.7054 7.4078 3.4682
Na 0.0198 3.7115 0.0066
Na 3.4272 -0.0305 6.6215
Na 1.7311 3.6963 3.3271
Hg 4.2821 5.4828 4.1501
Hg 4.2628 1.8792 4.1437
Hg 2.5419 1.7382 0.8494
Hg 2.5631 5.6544 0.8565
Hg 0.8698 5.4981 5.9461
Hg 0.8505 1.8945 5.9396
Pu 0.0000 0.0000 0.0000

=====

No. 6
10
Lattice="-3.1006 -3.7432 -2.0137 -0.4878 -5.2690 3.6725 -6.1799 0.4794 1.7513" Properties=species:S:1:pos:R:3 comment="Nb5Ga4Ge | Alexandria | PBE-GGA | optimized geometry" space_group="I4/m (87)" magnetic_moment_mub_per_cell=0.0 formation_energy_mev_per_atom=-38 dft_energy_ev_per_fu=-67.5 dos_ef_per_ev_atom=0.36 pbc="T T T"
Nb -7.9461 -5.0755 1.0374
Nb -5.0525 -5.0485 3.4048
Nb -4.7218 -3.4915 0.0014
Nb -1.8282 -3.4646 2.3688
Nb -1.5543 -1.8765 -1.0095
Ga -6.3773 -3.2270 2.0586
Ga -6.5838 -6.9215 2.3712
Ga -3.1906 -1.6186 1.0351
Ga -3.3970 -5.3131 1.3476
Ge -0.0040 -0.0048 -0.0026